No. 1
The following is a DFT calculation (PBE-GGA) of a geometry-optimized LaTiCo2Re structure.

Results
Symmetry: P4/mmm (123)
Calculated formation energy (eV per atom): 1.92

a = 4.344 Å, b = 4.813 Å, c = 4.344 Å
α = 90.00°, β = 90.00°, γ = 90.00°
Atoms (fractional coordinates):
Re (0.500, 0.500, 0.500)
Ti (0.000, 0.500, 0.000)
Co (0.000, 0.000, 0.500)
Co (0.500, 0.000, 0.000)
La (0.000, 0.000, 0.000)

No. 2
The following is a DFT calculation (PBE-GGA) of a geometry-optimized LaVCoRe2 structure.

Results
Symmetry: P4/mmm (123)
Calculated formation energy (eV per atom): 0.85

a = 4.633 Å, b = 4.440 Å, c = 4.633 Å
α = 90.00°, β = 90.00°, γ = 90.00°
Site moments in Bohr magnetons follow the coordinates.
Atoms (fractional coordinates):
Re (0.000, 0.000, 0.500)  -0.20
Re (0.500, 0.000, 0.000)  -0.20
V (0.000, 0.500, 0.000)  1.70
Co (0.000, 0.000, 0.000)  -0.12
La (0.500, 0.500, 0.500)  0.07

No. 3
The following is a DFT calculation (PBE-GGA) of a geometry-optimized La8Co2Rh3 structure.

Results
Symmetry: C2/m (12)
Calculated formation energy (eV per atom): -0.41

a = 7.061 Å, b = 10.447 Å, c = 10.447 Å
α = 47.21°, β = 47.42°, γ = 47.42°
Atoms (fractional coordinates):
La (0.948, 0.619, 0.619)
La (0.052, 0.381, 0.381)
La (0.931, 0.117, 0.117)
La (0.069, 0.883, 0.883)
La (0.605, 0.611, 0.123)
La (0.605, 0.123, 0.611)
La (0.395, 0.877, 0.389)
La (0.395, 0.389, 0.877)
Co (0.042, 0.233, 0.233)
Co (0.958, 0.767, 0.767)
Rh (0.500, 0.000, 0.000)
Rh (0.000, 0.263, 0.737)
Rh (0.000, 0.737, 0.263)

No. 4
The following is a DFT calculation (PBE-GGA) of a geometry-optimized La4Co2Rh structure.

Results
Symmetry: I2_12_12_1 (24)
Calculated formation energy (eV per atom): -0.27

a = 7.660 Å, b = 7.661 Å, c = 7.661 Å
α = 69.46°, β = 71.06°, γ = 108.94°
Atoms (fractional coordinates):
Rh (0.500, 0.750, 0.750)
Rh (0.000, 0.000, 0.000)
Co (0.870, 0.494, 0.875)
Co (0.131, 0.255, 0.375)
Co (0.372, 0.875, 0.253)
Co (0.628, 0.375, 0.497)
La (0.254, 0.020, 0.618)
La (0.138, 0.623, 0.132)
La (0.746, 0.127, 0.234)
La (0.639, 0.618, 0.128)
La (0.361, 0.234, 0.020)
La (0.861, 0.730, 0.516)
La (0.754, 0.132, 0.730)
La (0.246, 0.516, 0.622)

No. 5
The following is a DFT calculation (PBE-GGA) of a geometry-optimized LaCoRh structure.

Results
Symmetry: P-6m2 (187)
Offset from the most stable computed form (eV per atom): 0.0000
Calculated formation energy (eV per atom): -0.32

a = 4.146 Å, b = 4.146 Å, c = 4.183 Å
α = 90.00°, β = 90.00°, γ = 120.00°
Site moments in Bohr magnetons follow the coordinates.
Atoms (fractional coordinates):
Co (0.000, 0.000, 0.833)  1.01
La (0.667, 0.333, 0.333)  -0.08
Rh (0.333, 0.667, 0.833)  0.26

No. 6
The following is a DFT calculation (PBE-GGA) of a geometry-optimized La8Co2Rh structure.

Results
Symmetry: Cm (8)
Calculated formation energy (eV per atom): -0.15

a = 6.598 Å, b = 7.685 Å, c = 7.685 Å
α = 117.42°, β = 100.09°, γ = 100.09°
Atoms (fractional coordinates):
Rh (0.201, 0.015, 0.015)
Co (0.481, 0.700, 0.324)
Co (0.481, 0.324, 0.700)
La (0.594, 0.368, 0.094)
La (0.594, 0.094, 0.368)
La (0.175, 0.349, 0.349)
La (0.982, 0.191, 0.785)
La (0.982, 0.785, 0.191)
La (0.787, 0.655, 0.655)
La (0.362, 0.912, 0.641)
La (0.362, 0.641, 0.912)

No. 7
The following is a DFT calculation (PBE-GGA) of a geometry-optimized LaCoRh structure.

Results
Symmetry: F-43m (216)
Offset from the most stable computed form (eV per atom): 0.7822
Calculated formation energy (eV per atom): 0.46

a = 4.457 Å, b = 4.457 Å, c = 4.457 Å
α = 60.00°, β = 60.00°, γ = 60.00°
Site moments in Bohr magnetons follow the coordinates.
Atoms (fractional coordinates):
Co (0.500, 0.500, 0.500)  0.79
La (0.750, 0.750, 0.750)  -0.10
Rh (0.000, 0.000, 0.000)  0.11

No. 8
The following is a DFT calculation (PBE-GGA) of a geometry-optimized La6Co3Rh structure.

Results
Symmetry: P2_1/m (11)
Calculated formation energy (eV per atom): -0.22

a = 4.059 Å, b = 11.803 Å, c = 11.982 Å
α = 111.78°, β = 89.98°, γ = 90.00°
Atoms (fractional coordinates):
La (0.250, 0.401, 0.556)
La (0.750, 0.599, 0.444)
La (0.250, 0.906, 0.072)
La (0.750, 0.094, 0.928)
La (0.250, 0.941, 0.605)
La (0.750, 0.059, 0.395)
La (0.250, 0.735, 0.266)
La (0.750, 0.265, 0.734)
La (0.250, 0.555, 0.897)
La (0.750, 0.445, 0.103)
La (0.250, 0.246, 0.227)
La (0.750, 0.754, 0.773)
Co (0.250, 0.168, 0.557)
Co (0.750, 0.832, 0.443)
Co (0.250, 0.495, 0.295)
Co (0.750, 0.505, 0.705)
Co (0.250, 0.911, 0.838)
Co (0.750, 0.089, 0.162)
Rh (0.250, 0.304, 0.938)
Rh (0.750, 0.696, 0.062)

Number 1: calculated total energy -29.89 eV for the cell shown. Number 2: calculated total energy -41.79 eV for the cell shown. Number 3: calculated total energy -81.06 eV for the cell shown. Number 4: calculated total energy -86.28 eV for the cell shown. Number 5: calculated total energy -20.35 eV for the cell shown. Number 6: calculated total energy -62.59 eV for the cell shown. Number 7: calculated total energy -18.00 eV for the cell shown. Number 8: calculated total energy -120.81 eV for the cell shown.